Record 1
Tm4CoSn8: optimized geometry, PBE.

Calculated values
Spin magnetization: 0.0 Bohr magnetons per cell
E_form: -481 meV per atom
Calculated volume: 318 Å³ per cell
DFT total energy: -63.27 eV/f.u.

a = 4.4078 Å, b = 4.3849 Å, c = 16.4559 Å
α = 90.00°, β = 90.00°, γ = 90.00°
Last column: nearest neighbours and their distance in Å.
Atoms (fractional coordinates):
1 Tm 0.0000 0.0000 0.9041  10 Sn 3.16-3.47, 1 Co 3.50
2 Tm 0.5000 0.0000 0.3958  10 Sn 3.14-3.31
3 Tm 0.5000 0.5000 0.6052  8 Sn 3.27-3.42, 4 Co 3.42
4 Tm 0.0000 0.5000 0.0985  10 Sn 3.15-3.42
5 Co 0.0000 0.0000 0.6917  5 Sn 2.44-2.50
6 Sn 0.0000 0.0000 0.5435  1 Co 2.44
7 Sn 0.5000 0.0000 0.0672  2 Sn 3.03, 4 Tm 3.15
8 Sn 0.5000 0.5000 0.9398  2 Sn 3.03, 4 Tm 3.16
9 Sn 0.0000 0.5000 0.4224  2 Sn 2.96, 4 Tm 3.14
10 Sn 0.5000 0.0000 0.7634  2 Co 2.50
11 Sn 0.0000 0.0000 0.2482  4 Sn 3.11, 4 Tm 3.28-3.30
12 Sn 0.0000 0.5000 0.7639  2 Co 2.49
13 Sn 0.5000 0.5000 0.2454  4 Sn 3.11, 4 Tm 3.27-3.31



Record 2
CaTlSeClO: optimized geometry, PBE.

Calculated values
Spin magnetization: 0.0 Bohr magnetons per cell
ΔE_f (raw): -1.45 eV/atom
Calculated volume: 254 Å³ per cell
Energy above the lowest structure with this stoichiometry: 0.000 eV/atom
DFT total energy: -21.90 eV/f.u.

a = 9.1882 Å, b = 4.0706 Å, c = 6.9762 Å
α = 90.00°, β = 103.54°, γ = 90.00°
Last column: nearest neighbours and their distance in Å.
Atoms (fractional coordinates):
1 Ca 0.7867 0.0000 0.5956  3 O 2.43-2.44
2 Ca 0.7867 0.5000 0.0956  3 O 2.43-2.44
3 Tl 0.2753 0.0000 0.1194  3 Se 2.96-2.97
4 Tl 0.2753 0.5000 0.6194  3 Se 2.96-2.97
5 Se 0.0712 0.0000 0.3935  1 O 1.88
6 Se 0.0712 0.5000 0.8935  1 O 1.88
7 Cl 0.6036 0.0000 0.8743  3 Ca 2.85
8 Cl 0.6036 0.5000 0.3743  3 Ca 2.85
9 O 0.8640 0.0000 0.2849  1 Se 1.88
10 O 0.8640 0.5000 0.7849  1 Se 1.88